A) The following is a DFT calculation (PBE) of an optimized crystal structure of AcTbPmMg.

Geometry as CIF:
```
data_AcTbPmMg
_cell_length_a 8.125
_cell_length_b 8.125
_cell_length_c 8.125
_cell_angle_alpha 90.00
_cell_angle_beta 90.00
_cell_angle_gamma 90.00
_space_group_name_H-M_alt 'F -4 3 m'
_space_group_IT_number 216
_space_group_name_Hall 'F -4 2 3'
loop_
_atom_site_label
_atom_site_type_symbol
_atom_site_fract_x
_atom_site_fract_y
_atom_site_fract_z
Ac1 Ac 0.000 0.000 0.000
Tb1 Tb 0.250 0.250 0.750
Pm1 Pm 0.250 0.250 0.250
Mg1 Mg 0.000 0.000 0.500
```

---

B) The following is a DFT calculation (PBE) of an optimized crystal structure of AcTbPmMg.

Geometry as CIF:
```
data_AcTbPmMg
_cell_length_a 3.837
_cell_length_b 3.837
_cell_length_c 9.046
_cell_angle_alpha 90.00
_cell_angle_beta 90.00
_cell_angle_gamma 90.00
_space_group_name_H-M_alt 'P 4 m m'
_space_group_IT_number 99
loop_
_space_group_symop_operation_xyz
'x,y,z'
'-y,x,z'
'-x,-y,z'
'y,-x,z'
'-x,y,z'
'y,x,z'
'x,-y,z'
'-y,-x,z'
loop_
_atom_site_label
_atom_site_type_symbol
_atom_site_fract_x
_atom_site_fract_y
_atom_site_fract_z
Ac1 Ac 0.000 0.000 0.000
Tb1 Tb 0.500 0.500 0.285
Pm1 Pm 0.500 0.500 0.707
Mg1 Mg 0.000 0.000 0.491
```

---

Which structure loses on stability? A) does.

---

A) The following is a DFT calculation (PBE) of an optimized crystal structure of AcPmYMg.

Geometry as CIF:
```
data_AcPmYMg
_cell_length_a 8.130
_cell_length_b 8.130
_cell_length_c 8.130
_cell_angle_alpha 90.00
_cell_angle_beta 90.00
_cell_angle_gamma 90.00
_space_group_name_H-M_alt 'F -4 3 m'
_space_group_IT_number 216
_space_group_name_Hall 'F -4 2 3'
loop_
_atom_site_label
_atom_site_type_symbol
_atom_site_fract_x
_atom_site_fract_y
_atom_site_fract_z
Ac1 Ac 0.000 0.000 0.000
Pm1 Pm 0.250 0.250 0.750
Y1 Y 0.250 0.250 0.250
Mg1 Mg 0.000 0.000 0.500
```

---

B) The following is a DFT calculation (PBE) of an optimized crystal structure of AcPmYMg.

Geometry as CIF:
```
data_AcPmYMg
_cell_length_a 3.839
_cell_length_b 3.839
_cell_length_c 9.062
_cell_angle_alpha 90.00
_cell_angle_beta 90.00
_cell_angle_gamma 90.00
_space_group_name_H-M_alt 'P 4 m m'
_space_group_IT_number 99
loop_
_space_group_symop_operation_xyz
'x,y,z'
'-y,x,z'
'-x,-y,z'
'y,-x,z'
'-x,y,z'
'y,x,z'
'x,-y,z'
'-y,-x,z'
loop_
_atom_site_label
_atom_site_type_symbol
_atom_site_fract_x
_atom_site_fract_y
_atom_site_fract_z
Ac1 Ac 0.000 0.000 0.000
Pm1 Pm 0.500 0.500 0.292
Y1 Y 0.500 0.500 0.713
Mg1 Mg 0.000 0.000 0.509
```

---

Which structure loses on stability? A) does.

---

A) The following is a DFT calculation (PBE) of an optimized crystal structure of AcPr7Mg2.

Geometry as CIF:
```
data_AcPr7Mg2
_cell_length_a 9.012
_cell_length_b 3.547
_cell_length_c 11.887
_cell_angle_alpha 90.00
_cell_angle_beta 111.28
_cell_angle_gamma 90.00
_space_group_name_H-M_alt 'P 1 2/m 1'
_space_group_IT_number 10
loop_
_space_group_symop_operation_xyz
'x,y,z'
'-x,-y,-z'
'-x,y,-z'
'x,-y,z'
loop_
_atom_site_label
_atom_site_type_symbol
_atom_site_fract_x
_atom_site_fract_y
_atom_site_fract_z
Ac1 Ac 0.000 0.000 0.000
Pr1 Pr 0.000 0.500 0.500
Pr2 Pr 0.196 0.500 0.805
Pr3 Pr 0.226 0.500 0.316
Pr4 Pr 0.400 0.000 0.619
Mg1 Mg 0.401 0.500 0.103
```

---

B) The following is a DFT calculation (PBE) of an optimized crystal structure of AcPr7Mg2.

Geometry as CIF:
```
data_AcPr7Mg2
_cell_length_a 9.434
_cell_length_b 14.724
_cell_length_c 5.983
_cell_angle_alpha 90.00
_cell_angle_beta 90.00
_cell_angle_gamma 90.00
_space_group_name_H-M_alt 'C m m m'
_space_group_IT_number 65
_space_group_name_Hall '-C 2 2'
loop_
_atom_site_label
_atom_site_type_symbol
_atom_site_fract_x
_atom_site_fract_y
_atom_site_fract_z
Ac1 Ac 0.000 0.000 0.000
Pr1 Pr 0.000 0.307 0.000
Pr2 Pr 0.000 0.500 0.500
Pr3 Pr 0.189 0.121 0.500
Mg1 Mg 0.000 0.291 0.500
```

---

Which structure loses on stability? B) does.

---

A) The following is a DFT calculation (PBE) of an optimized crystal structure of Ac4PrMg.

Geometry as CIF:
```
data_Ac4PrMg
_cell_length_a 10.168
_cell_length_b 10.168
_cell_length_c 10.168
_cell_angle_alpha 90.00
_cell_angle_beta 90.00
_cell_angle_gamma 90.00
_space_group_name_H-M_alt 'F -4 3 m'
_space_group_IT_number 216
_space_group_name_Hall 'F -4 2 3'
loop_
_atom_site_label
_atom_site_type_symbol
_atom_site_fract_x
_atom_site_fract_y
_atom_site_fract_z
Ac1 Ac 0.125 0.125 0.125
Pr1 Pr 0.000 0.000 0.500
Mg1 Mg 0.250 0.250 0.750
```

---

B) The following is a DFT calculation (PBE) of an optimized crystal structure of Ac4PrMg.

Geometry as CIF:
```
data_Ac4PrMg
_cell_length_a 3.984
_cell_length_b 3.984
_cell_length_c 15.194
_cell_angle_alpha 90.00
_cell_angle_beta 90.00
_cell_angle_gamma 90.00
_space_group_name_H-M_alt 'P 4/m m m'
_space_group_IT_number 123
_space_group_name_Hall '-P 4 2'
loop_
_atom_site_label
_atom_site_type_symbol
_atom_site_fract_x
_atom_site_fract_y
_atom_site_fract_z
Ac1 Ac 0.000 0.000 0.144
Ac2 Ac 0.500 0.500 0.328
Pr1 Pr 0.000 0.000 0.500
Mg1 Mg 0.500 0.500 0.000
```

---

Which structure loses on stability? A) does.

---

A) The following is a DFT calculation (PBE) of an optimized crystal structure of Ac2PrMg4.

Geometry as CIF:
```
data_Ac2PrMg4
_cell_length_a 5.714
_cell_length_b 5.714
_cell_length_c 15.241
_cell_angle_alpha 90.00
_cell_angle_beta 90.00
_cell_angle_gamma 90.00
_space_group_name_H-M_alt 'I 4/m m m'
_space_group_IT_number 139
_space_group_name_Hall '-I 4 2'
loop_
_atom_site_label
_atom_site_type_symbol
_atom_site_fract_x
_atom_site_fract_y
_atom_site_fract_z
Ac1 Ac 0.000 0.000 0.243
Pr1 Pr 0.000 0.000 0.500
Mg1 Mg 0.000 0.500 0.108
```

---

B) The following is a DFT calculation (PBE) of an optimized crystal structure of Ac2PrMg4.

Geometry as CIF:
```
data_Ac2PrMg4
_cell_length_a 5.741
_cell_length_b 5.741
_cell_length_c 17.328
_cell_angle_alpha 90.00
_cell_angle_beta 90.00
_cell_angle_gamma 90.00
_space_group_name_H-M_alt 'I 4/m m m'
_space_group_IT_number 139
_space_group_name_Hall '-I 4 2'
loop_
_atom_site_label
_atom_site_type_symbol
_atom_site_fract_x
_atom_site_fract_y
_atom_site_fract_z
Ac1 Ac 0.000 0.000 0.114
Pr1 Pr 0.000 0.000 0.500
Mg1 Mg 0.000 0.000 0.321
Mg2 Mg 0.000 0.500 0.000
```

---

Which structure loses on stability? B) does.

---

A) The following is a DFT calculation (PBE) of an optimized crystal structure of Ac2Pr8Mg.

Geometry as CIF:
```
data_Ac2Pr8Mg
_cell_length_a 18.900
_cell_length_b 5.322
_cell_length_c 8.314
_cell_angle_alpha 90.00
_cell_angle_beta 105.61
_cell_angle_gamma 90.00
_space_group_name_H-M_alt 'C 1 2/m 1'
_space_group_IT_number 12
loop_
_space_group_symop_operation_xyz
'x,y,z'
'-x,-y,-z'
'-x,y,-z'
'x,-y,z'
'x+1/2,y+1/2,z'
'-x+1/2,-y+1/2,-z'
'-x+1/2,y+1/2,-z'
'x+1/2,-y+1/2,z'
loop_
_atom_site_label
_atom_site_type_symbol
_atom_site_fract_x
_atom_site_fract_y
_atom_site_fract_z
Ac1 Ac 0.225 0.000 0.140
Pr1 Pr 0.043 0.000 0.224
Pr2 Pr 0.087 0.500 0.945
Pr3 Pr 0.134 0.000 0.673
Pr4 Pr 0.177 0.500 0.407
Mg1 Mg 0.000 0.500 0.500
```

---

B) The following is a DFT calculation (PBE) of an optimized crystal structure of Ac2Pr8Mg.

Geometry as CIF:
```
data_Ac2Pr8Mg
_cell_length_a 16.853
_cell_length_b 7.005
_cell_length_c 7.094
_cell_angle_alpha 90.00
_cell_angle_beta 101.70
_cell_angle_gamma 90.00
_space_group_name_H-M_alt 'C 1 2/m 1'
_space_group_IT_number 12
loop_
_space_group_symop_operation_xyz
'x,y,z'
'-x,-y,-z'
'-x,y,-z'
'x,-y,z'
'x+1/2,y+1/2,z'
'-x+1/2,-y+1/2,-z'
'-x+1/2,y+1/2,-z'
'x+1/2,-y+1/2,z'
loop_
_atom_site_label
_atom_site_type_symbol
_atom_site_fract_x
_atom_site_fract_y
_atom_site_fract_z
Ac1 Ac 0.187 0.000 0.304
Pr1 Pr 0.079 0.261 0.882
Pr2 Pr 0.094 0.500 0.418
Pr3 Pr 0.247 0.000 0.823
Mg1 Mg 0.000 0.000 0.500
```

---

Which structure loses on stability? B) does.